# TiInAu2 | Alexandria via LeMat-Bulk | PBE | relaxed
data_TiInAu2
_chemical_formula_sum 'Ti2 In2 Au4'
_cell_length_a 5.913
_cell_length_b 3.440
_cell_length_c 8.267
_cell_angle_alpha 90.00
_cell_angle_beta 103.56
_cell_angle_gamma 90.00
_space_group_name_H-M_alt 'C 1 m 1'
_space_group_IT_number 8
loop_
_space_group_symop_operation_xyz
'x,y,z'
'x,-y,z'
'x+1/2,y+1/2,z'
'x+1/2,-y+1/2,z'
loop_
_atom_site_label
_atom_site_type_symbol
_atom_site_fract_x
_atom_site_fract_y
_atom_site_fract_z
Ti1 Ti 0.000 0.000 0.000
In1 In 0.166 0.000 0.499
Au1 Au 0.091 0.500 0.774
Au2 Au 0.409 0.000 0.225
# Formation energy from the elements, meV/atom: -167
# E_tot, eV/f.u.: -17.855